DFT (GGA+U) results for crystalline AlFeO3 at its relaxed geometry.

a b c (Å): 5.0125 8.5391 9.2581
angles (deg): 90.00 90.00 90.00
With the nearest neighbours (Å) after each atom.
Space group Pna2_1 (No. 33)
Unique sites:
Al  0.1656  0.1540  0.0000 (multiplicity 4)  4 O 1.76-1.80
Al  0.1707  0.8412  0.8006 (multiplicity 4)  6 O 1.84-1.99
Fe  0.1580  0.4631  0.7918 (multiplicity 4)  3 O 1.90-1.99
Fe  0.1767  0.1595  0.5661 (multiplicity 4)  5 O 1.89-2.11
O  0.0018  0.3166  0.4187 (multiplicity 4)  2 Al 1.94-1.98, 2 Fe 2.11-2.14
O  0.0037  0.6755  0.4409 (multiplicity 4)  2 Al 1.76-1.77
O  0.0094  0.0106  0.4284 (multiplicity 4)  2 Al 1.78-1.95, 1 Fe 1.99
O  0.1564  0.8249  0.1668 (multiplicity 4)  3 Fe 1.89-1.92
O  0.1592  0.1656  0.1940 (multiplicity 4)  3 Al 1.80-1.99
O  0.1756  0.4991  0.1942 (multiplicity 4)  1 Al 1.84, 2 Fe 1.93-1.96

Summary:
* total DFT energy (no corrections): -6.907 eV per atom